# CsGdSnTe3, optimized geometry, DFT PBE
# * total magnetization: 0.00 μB/atom
# * E: -0.2997 Ry/atom
data_CsGdSnTe3
_space_group_name_H-M_alt 'C m c m'
_space_group_IT_number 63
_space_group_name_Hall '-C 2c 2'
_cell_length_a 4.451
_cell_length_b 17.607
_cell_length_c 12.907
_cell_angle_alpha 90.00
_cell_angle_beta 90.00
_cell_angle_gamma 90.00
loop_
_atom_site_label
_atom_site_type_symbol
_atom_site_fract_x
_atom_site_fract_y
_atom_site_fract_z
Cs1 Cs 0.000 0.219 0.250
Gd1 Gd 0.000 0.500 0.000
Sn1 Sn 0.000 0.092 0.750
Te1 Te 0.000 0.122 0.511
Te2 Te 0.000 0.480 0.750

# CsSrGd, optimized geometry, DFT PBE
# * total magnetization: 0.76 μB/atom
# * E: -0.1063 Ry/atom
data_CsSrGd
_space_group_name_H-M_alt 'F -4 3 m'
_space_group_IT_number 216
_space_group_name_Hall 'F -4 2 3'
_cell_length_a 9.319
_cell_length_b 9.319
_cell_length_c 9.319
_cell_angle_alpha 90.00
_cell_angle_beta 90.00
_cell_angle_gamma 90.00
loop_
_atom_site_label
_atom_site_type_symbol
_atom_site_fract_x
_atom_site_fract_y
_atom_site_fract_z
Cs1 Cs 0.000 0.000 0.000
Sr1 Sr 0.000 0.000 0.500
Gd1 Gd 0.250 0.250 0.250

# CsGdTa, optimized geometry, DFT PBE
# * total magnetization: 0.40 μB/atom
# * E: -0.2618 Ry/atom
data_CsGdTa
_space_group_name_H-M_alt 'F -4 3 m'
_space_group_IT_number 216
_space_group_name_Hall 'F -4 2 3'
_cell_length_a 7.188
_cell_length_b 7.188
_cell_length_c 7.188
_cell_angle_alpha 90.00
_cell_angle_beta 90.00
_cell_angle_gamma 90.00
loop_
_atom_site_label
_atom_site_type_symbol
_atom_site_fract_x
_atom_site_fract_y
_atom_site_fract_z
Cs1 Cs 0.000 0.000 0.000
Gd1 Gd 0.250 0.250 0.750
Ta1 Ta 0.250 0.250 0.250

Repeat the first record exactly.
# CsGdSnTe3, optimized geometry, DFT PBE
# * total magnetization: 0.00 μB/atom
# * E: -0.2997 Ry/atom
data_CsGdSnTe3
_space_group_name_H-M_alt 'C m c m'
_space_group_IT_number 63
_space_group_name_Hall '-C 2c 2'
_cell_length_a 4.451
_cell_length_b 17.607
_cell_length_c 12.907
_cell_angle_alpha 90.00
_cell_angle_beta 90.00
_cell_angle_gamma 90.00
loop_
_atom_site_label
_atom_site_type_symbol
_atom_site_fract_x
_atom_site_fract_y
_atom_site_fract_z
Cs1 Cs 0.000 0.219 0.250
Gd1 Gd 0.000 0.500 0.000
Sn1 Sn 0.000 0.092 0.750
Te1 Te 0.000 0.122 0.511
Te2 Te 0.000 0.480 0.750

What is the E in the second record? -0.1063 Ry/atom